First-principles (PBE with a Hubbard U) data for a geometry-optimized Gd3Mn5O12 structure, as listed in Alexandria.

Summary:
Calculated total energy (eV for the cell shown): -1471.97
Density of states at the Fermi level (states/eV per atom): 0.33

a b c (Å): 12.646 12.646 12.646
angles (deg): 90.00 90.00 90.00
Space group Ia-3d (No. 230)
Asymmetric unit:
Gd  0.000  0.250  0.125 x24
Mn  0.000  0.000  0.000 x16
Mn  0.000  0.250  0.375 x24
O  0.024  0.054  0.647 x96